Entry 1:
## LiSm2Sn4Pt3 (PBE)

Data for a relaxed structure of LiSm2Sn4Pt3.

Results
Formation energy from the elements (eV/f.u.): -7.81
V (Å³/cell): 223.1

Cell: 4.4332 4.4332 11.3502 Å, 90.00 90.00 90.00°
Sites, in units of the cell vectors:
Li: 0.0000 0.0000 0.0000
Sm: 0.0000 0.5000 0.7576
Sm: 0.5000 0.0000 0.2424
Sn: 0.0000 0.0000 0.5000
Sn: 0.0000 0.5000 0.1320
Sn: 0.5000 0.0000 0.8680
Sn: 0.5000 0.5000 0.5000
Pt: 0.0000 0.5000 0.3626
Pt: 0.5000 0.0000 0.6374
Pt: 0.5000 0.5000 0.0000

Entry 2:
## LiSm2SnPt6 (PBE)

Data for a relaxed structure of LiSm2SnPt6.

Results
Formation energy from the elements (eV/f.u.): -7.34
V (Å³/cell): 219.5

Cell: 5.5787 5.5787 8.7505 Å, 108.49 108.49 60.00°
Sites, in units of the cell vectors:
Li: 0.0000 0.0000 0.0000
Sm: 0.3000 0.3000 0.8998
Sm: 0.7000 0.7000 0.1002
Sn: 0.5000 0.5000 0.5000
Pt: 0.2422 0.2422 0.2359
Pt: 0.2421 0.7504 0.2355
Pt: 0.2496 0.7579 0.7645
Pt: 0.7504 0.2421 0.2355
Pt: 0.7579 0.2496 0.7645
Pt: 0.7578 0.7578 0.7641

Entry 3:
## LiTbSmPt (PBE)

Data for a relaxed structure of LiTbSmPt.

Results
Formation energy from the elements (eV/f.u.): -2.42
V (Å³/cell): 363.6

Cell: 7.1376 7.1376 7.1376 Å, 90.00 90.00 90.00°
Sites, in units of the cell vectors:
Li: 0.0000 0.0000 0.0000
Li: 0.0000 0.5000 0.5000
Li: 0.5000 0.0000 0.5000
Li: 0.5000 0.5000 0.0000
Tb: 0.2500 0.2500 0.2500
Tb: 0.2500 0.7500 0.7500
Tb: 0.7500 0.2500 0.7500
Tb: 0.7500 0.7500 0.2500
Sm: 0.2500 0.2500 0.7500
Sm: 0.2500 0.7500 0.2500
Sm: 0.7500 0.2500 0.2500
Sm: 0.7500 0.7500 0.7500
Pt: 0.0000 0.0000 0.5000
Pt: 0.0000 0.5000 0.0000
Pt: 0.5000 0.0000 0.0000
Pt: 0.5000 0.5000 0.5000

Entry 4:
## LiSmTiPt2 (PBE)

Data for a relaxed structure of LiSmTiPt2.

Results
Formation energy from the elements (eV/f.u.): -4.03
V (Å³/cell): 190.9

Cell: 3.9804 3.9804 12.0493 Å, 90.00 90.00 90.00°
Sites, in units of the cell vectors:
Li: 0.0000 0.0000 0.0000
Li: 0.5000 0.5000 0.5000
Sm: 0.0000 0.5000 0.2500
Sm: 0.5000 0.0000 0.7500
Ti: 0.0000 0.0000 0.5000
Ti: 0.5000 0.5000 0.0000
Pt: 0.0000 0.5000 0.6351
Pt: 0.0000 0.5000 0.8649
Pt: 0.5000 0.0000 0.1351
Pt: 0.5000 0.0000 0.3649

Entry 5:
## LiSmTlPt (PBE)

Data for a relaxed structure of LiSmTlPt.

Results
Formation energy from the elements (eV/f.u.): -2.35
V (Å³/cell): 330.9

Cell: 6.9167 6.9167 6.9167 Å, 90.00 90.00 90.00°
Sites, in units of the cell vectors:
Li: 0.0000 0.0000 0.0000
Li: 0.0000 0.5000 0.5000
Li: 0.5000 0.0000 0.5000
Li: 0.5000 0.5000 0.0000
Sm: 0.2500 0.2500 0.2500
Sm: 0.2500 0.7500 0.7500
Sm: 0.7500 0.2500 0.7500
Sm: 0.7500 0.7500 0.2500
Tl: 0.2500 0.2500 0.7500
Tl: 0.2500 0.7500 0.2500
Tl: 0.7500 0.2500 0.2500
Tl: 0.7500 0.7500 0.7500
Pt: 0.0000 0.0000 0.5000
Pt: 0.0000 0.5000 0.0000
Pt: 0.5000 0.0000 0.0000
Pt: 0.5000 0.5000 0.5000

Entry 6:
## LiSmTm2Pt4 (PBE)

Data for a relaxed structure of LiSmTm2Pt4.

Results
Formation energy from the elements (eV/f.u.): -8.61
V (Å³/cell): 159.7

Cell: 8.5843 8.5843 8.5843 Å, 32.21 32.21 32.21°
Sites, in units of the cell vectors:
Li: 0.0000 0.0000 0.0000
Sm: 0.5000 0.5000 0.5000
Tm: 0.2614 0.2614 0.2614
Tm: 0.7386 0.7386 0.7386
Pt: 0.1116 0.1116 0.1116
Pt: 0.3770 0.3770 0.3770
Pt: 0.6230 0.6230 0.6230
Pt: 0.8884 0.8884 0.8884

Entry 7:
## LiSmZnPt (PBE)

Data for a relaxed structure of LiSmZnPt.

Results
Formation energy from the elements (eV/f.u.): -2.33
V (Å³/cell): 300.7

Cell: 6.6994 6.6994 6.6994 Å, 90.00 90.00 90.00°
Sites, in units of the cell vectors:
Li: 0.0000 0.0000 0.0000
Li: 0.0000 0.5000 0.5000
Li: 0.5000 0.0000 0.5000
Li: 0.5000 0.5000 0.0000
Sm: 0.2500 0.2500 0.2500
Sm: 0.2500 0.7500 0.7500
Sm: 0.7500 0.2500 0.7500
Sm: 0.7500 0.7500 0.2500
Zn: 0.2500 0.2500 0.7500
Zn: 0.2500 0.7500 0.2500
Zn: 0.7500 0.2500 0.2500
Zn: 0.7500 0.7500 0.7500
Pt: 0.0000 0.0000 0.5000
Pt: 0.0000 0.5000 0.0000
Pt: 0.5000 0.0000 0.0000
Pt: 0.5000 0.5000 0.5000

Entry 8:
## LiSm2Zn3Pt4 (PBE)

Data for a relaxed structure of LiSm2Zn3Pt4.

Results
Formation energy from the elements (eV/f.u.): -7.80
V (Å³/cell): 186.7

Cell: 4.0559 4.0559 11.3516 Å, 90.00 90.00 90.00°
Sites, in units of the cell vectors:
Li: 0.0000 0.0000 0.0000
Sm: 0.0000 0.5000 0.7476
Sm: 0.5000 0.0000 0.2524
Zn: 0.0000 0.5000 0.3654
Zn: 0.5000 0.0000 0.6346
Zn: 0.5000 0.5000 0.0000
Pt: 0.0000 0.0000 0.5000
Pt: 0.0000 0.5000 0.1451
Pt: 0.5000 0.0000 0.8549
Pt: 0.5000 0.5000 0.5000

Entry 9:
## LiSmZnPt2 (PBE)

Data for a relaxed structure of LiSmZnPt2.

Results
Formation energy from the elements (eV/f.u.): -4.07
V (Å³/cell): 187.1

Cell: 3.8810 3.8810 12.4210 Å, 90.00 90.00 90.00°
Sites, in units of the cell vectors:
Li: 0.0000 0.0000 0.0000
Li: 0.5000 0.5000 0.5000
Sm: 0.0000 0.5000 0.7500
Sm: 0.5000 0.0000 0.2500
Zn: 0.0000 0.0000 0.5000
Zn: 0.5000 0.5000 0.0000
Pt: 0.0000 0.5000 0.1402
Pt: 0.0000 0.5000 0.3598
Pt: 0.5000 0.0000 0.6402
Pt: 0.5000 0.0000 0.8598

Entry 10:
## LiSmZn2Pt2 (PBE)

Data for a relaxed structure of LiSmZn2Pt2.

Results
Formation energy from the elements (eV/f.u.): -4.56
V (Å³/cell): 109.3

Cell: 4.3558 4.3558 6.6547 Å, 90.00 90.00 120.00°
Sites, in units of the cell vectors:
Li: 0.0000 0.0000 0.0000
Sm: 0.0000 0.0000 0.5000
Zn: 0.3333 0.6667 0.8309
Zn: 0.6667 0.3333 0.1691
Pt: 0.3333 0.6667 0.2314
Pt: 0.6667 0.3333 0.7686

Entry 11:
## LiSmZrPt (PBE)

Data for a relaxed structure of LiSmZrPt.

Results
Formation energy from the elements (eV/f.u.): -1.64
V (Å³/cell): 333.2

Cell: 6.9324 6.9324 6.9324 Å, 90.00 90.00 90.00°
Sites, in units of the cell vectors:
Li: 0.0000 0.0000 0.0000
Li: 0.0000 0.5000 0.5000
Li: 0.5000 0.0000 0.5000
Li: 0.5000 0.5000 0.0000
Sm: 0.2500 0.2500 0.2500
Sm: 0.2500 0.7500 0.7500
Sm: 0.7500 0.2500 0.7500
Sm: 0.7500 0.7500 0.2500
Zr: 0.2500 0.2500 0.7500
Zr: 0.2500 0.7500 0.2500
Zr: 0.7500 0.2500 0.2500
Zr: 0.7500 0.7500 0.7500
Pt: 0.0000 0.0000 0.5000
Pt: 0.0000 0.5000 0.0000
Pt: 0.5000 0.0000 0.0000
Pt: 0.5000 0.5000 0.5000

Entry 12:
## Li2SnPt2 (PBE)

Data for a relaxed structure of Li2SnPt2.

Results
Formation energy from the elements (eV/f.u.): -2.33
V (Å³/cell): 151.0
Relative energy among the computed polymorphs (meV/atom): 159

Cell: 7.2445 7.2445 2.8773 Å, 90.00 90.00 90.00°
Sites, in units of the cell vectors:
Li: 0.1132 0.3868 0.0000
Li: 0.3868 0.8868 0.0000
Li: 0.6132 0.1132 0.0000
Li: 0.8868 0.6132 0.0000
Sn: 0.0000 0.0000 0.0000
Sn: 0.5000 0.5000 0.0000
Pt: 0.1840 0.6840 0.5000
Pt: 0.3160 0.1840 0.5000
Pt: 0.6840 0.8160 0.5000
Pt: 0.8160 0.3160 0.5000